1.
## NdPu3C (GGA-PBE)

Data for a relaxed NdPu3C crystal.

POSCAR file:
```
NdPu3C
1.0
-1.464 3.376 -3.320
-4.479 0.142 2.119
1.539 3.626 3.009
Nd Pu C
1 3 1
Cartesian
-2.202 3.572 0.904
-2.239 0.071 1.059
0.769 1.813 1.504
-0.732 1.688 -1.660
0.000 0.000 0.000
```

Computed properties:
Energy relative to the elements ... 225 meV per atom
Crystal system ... cubic



2.
## CuSeI3 (GGA-PBE)

Data for a relaxed CuSeI3 crystal.

POSCAR file:
```
CuSeI3
1.0
-4.698 -2.285 1.087
2.104 -4.801 -1.001
1.406 -0.452 5.128
I Se Cu
3 1 1
Cartesian
1.052 -2.401 -0.500
-2.349 -1.143 0.543
0.703 -0.226 2.564
-0.594 -3.770 2.607
0.000 0.000 0.000
```

Computed properties:
Crystal system ... cubic
Polymorph energy (0 for the lowest one) ... 235 kJ/mol of formula units
Formation energy from raw total energies ... 0.474 eV/atom



3.
## Nd2ThPaSb4 (GGA-PBE)

Data for a relaxed Nd2ThPaSb4 crystal.

POSCAR file:
```
Nd2ThPaSb4
1.0
-1.540 2.782 -3.149
-6.075 1.733 4.502
5.816 4.925 1.507
Sb Th Pa Nd
4 1 1 2
Cartesian
-0.967 6.431 2.975
-3.151 2.516 3.765
-0.832 3.009 -0.115
2.891 4.141 2.245
-3.808 2.258 0.677
0.000 0.000 0.000
-0.130 3.329 3.005
2.138 3.854 -0.821
```

Computed properties:
Crystal system ... monoclinic
Formation energy from raw total energies ... -0.932 eV/atom



4.
## Y4Tm3Sc4 (GGA-PBE)

Data for a relaxed Y4Tm3Sc4 crystal.

POSCAR file:
```
Y4Tm3Sc4
1.0
-1.439 -1.440 -2.737
2.951 -4.473 0.801
-11.669 -9.386 8.938
Sc Y Tm
4 4 3
Cartesian
-9.815 -11.775 7.091
-7.910 -7.789 3.994
-2.247 -7.509 3.008
-0.342 -3.523 -0.090
-5.150 -9.360 3.376
-5.007 -5.939 3.625
-0.010 -6.350 1.220
-10.148 -8.948 5.782
-6.812 -9.874 6.640
-3.346 -5.424 0.362
-11.669 -9.386 8.938
```

Computed properties:
Energy relative to the elements ... 80 meV per atom
Crystal system ... triclinic



5.
## Cu3Ni7Rh (GGA-PBE)

Data for a relaxed Cu3Ni7Rh crystal.

POSCAR file:
```
Cu3Ni7Rh
1.0
4.517 -0.303 -0.388
-2.408 5.738 0.669
-2.408 -0.742 5.729
Ni Cu Rh
7 3 1
Cartesian
0.687 0.949 1.216
-0.093 3.187 0.616
-0.986 3.743 4.793
-2.408 2.498 3.199
-0.207 4.868 2.768
-0.093 -0.175 3.241
-0.207 1.506 5.394
2.258 -0.152 -0.194
-2.408 4.389 1.722
-2.408 0.606 4.676
-0.150 2.346 3.005
```

Computed properties:
Energy relative to the elements ... 401 meV per atom
Crystal system ... monoclinic



6.
## BaTb3Os (GGA-PBE)

Data for a relaxed BaTb3Os crystal.

POSCAR file:
```
BaTb3Os
1.0
5.575 0.000 0.000
0.000 5.575 0.000
0.000 0.000 5.575
Tb Os Ba
3 1 1
Cartesian
2.787 0.000 0.000
0.000 2.787 0.000
0.000 0.000 2.787
0.000 0.000 0.000
2.787 2.787 2.787
```

Computed properties:
Energy relative to the elements ... -41 meV per atom
Crystal system ... cubic



7.
## YRe2Te (GGA-PBE)

Data for a relaxed YRe2Te crystal.

POSCAR file:
```
YRe2Te
1.0
8.970 0.012 0.007
8.387 3.182 0.007
8.387 1.543 2.782
Te Re Y
1 2 1
Cartesian
6.436 1.184 0.699
25.572 4.705 2.778
13.044 2.400 1.417
19.308 3.552 2.097
```

Computed properties:
Crystal system ... trigonal
Formation energy from raw total energies ... 0.790 eV/atom



8.
## Cu3BMo (GGA-PBE)

Data for a relaxed Cu3BMo crystal.

POSCAR file:
```
Cu3BMo
1.0
3.927 0.000 0.000
0.000 3.927 0.000
0.000 0.000 3.927
Cu Mo B
3 1 1
Cartesian
0.000 1.964 0.000
1.964 0.000 0.000
0.000 0.000 1.964
1.964 1.964 1.964
0.000 0.000 0.000
```

Computed properties:
Energy relative to the elements ... 538 meV per atom
Crystal system ... cubic
Polymorph energy (0 for the lowest one) ... 0 kJ/mol of formula units



9.
## AcCdBiTe (GGA-PBE)

Data for a relaxed AcCdBiTe crystal.

POSCAR file:
```
AcCdBiTe
1.0
5.328 0.000 0.000
0.000 5.328 0.000
0.000 0.000 9.307
Bi Cd Te Ac
2 2 2 2
Cartesian
0.000 2.664 7.616
2.664 0.000 1.691
0.000 0.000 0.000
2.664 2.664 0.000
2.664 2.664 4.654
0.000 0.000 4.654
2.664 0.000 6.578
0.000 2.664 2.729
```

Computed properties:
Crystal system ... tetragonal
Formation energy from raw total energies ... -0.693 eV/atom



10.
## BaZn2Cd (GGA-PBE)

Data for a relaxed BaZn2Cd crystal.

POSCAR file:
```
BaZn2Cd
1.0
4.685 -0.022 0.052
2.356 4.049 0.052
2.284 1.306 5.867
Ba Cd Zn
1 1 2
Cartesian
6.994 4.000 4.478
2.331 1.333 1.493
7.031 4.021 1.019
4.673 2.672 2.070
```

Computed properties:
Energy relative to the elements ... -175 meV per atom
Crystal system ... trigonal



11.
## Ca2MgZr (GGA-PBE)

Data for a relaxed Ca2MgZr crystal.

POSCAR file:
```
Ca2MgZr
1.0
-1.045 3.781 5.196
2.538 -1.835 5.708
1.182 1.655 -6.185
Ca Zr Mg
2 1 1
Cartesian
0.761 0.992 5.556
1.479 1.927 10.801
2.233 0.396 2.488
0.442 3.205 2.232
```

Computed properties:
Energy relative to the elements ... 301 meV per atom
Crystal system ... orthorhombic



Number 1: total magnetic moment 16.11 μB/cell. Number 2: total magnetic moment 0.00 μB/cell. Number 3: total magnetic moment 0.83 μB/cell. Number 4: total magnetic moment 0.02 μB/cell. Number 5: total magnetic moment 4.73 μB/cell. Number 6: total magnetic moment 0.00 μB/cell. Number 7: total magnetic moment 0.00 μB/cell. Number 8: total magnetic moment 0.00 μB/cell. Number 9: total magnetic moment 0.00 μB/cell. Number 10: total magnetic moment 0.00 μB/cell. Number 11: total magnetic moment 0.02 μB/cell.